Below is an optimized crystal structure of CoSO2F, with properties calculated at the GGA+U level.

Unit cell a=3.4524 b=3.4524 c=5.6212 alpha=90.00 beta=90.00 gamma=90.00
With the nearest neighbours (Å) after each atom.
Space group P4/mmm (No. 123)
Unique sites:
Co1 0.0000 0.0000 0.0000 [1 per cell]  4 F 2.44
S1 0.5000 0.5000 0.5000 [1 per cell]  4 O 1.73
O1 0.0000 0.5000 0.5000 [2 per cell]  2 S 1.73
F1 0.5000 0.5000 0.0000 [1 per cell]  4 Co 2.44

Computed properties:
M_tot   2.3 μB per cell
Theoretical density   3.5 g/cm³
Total DFT energy (no corrections)   -21.7 eV/cell